(1)
Computed, not measured: HoCdInSe3 after structural relaxation at the PBE level of DFT.

Calculated values
- Final energy: -4.116 eV/atom
- Magnetic moment: 0.00 μB per formula unit

a b c (Å): 7.5289 7.5289 11.0624
angles (deg): 90.00 90.00 32.51
Fractional coordinates of all 12 atoms:
1 In 0.2524 0.2524 0.7500
2 Se 0.6331 0.6331 0.5453
3 In 0.7476 0.7476 0.2500
4 Ho 0.0000 0.0000 0.0000
5 Cd 0.5427 0.5427 0.7500
6 Se 0.9255 0.9255 0.7500
7 Se 0.6331 0.6331 0.9547
8 Ho 0.0000 0.0000 0.5000
9 Cd 0.4573 0.4573 0.2500
10 Se 0.0745 0.0745 0.2500
11 Se 0.3669 0.3669 0.0453
12 Se 0.3669 0.3669 0.4547


(2)
Computed, not measured: HfCuSbIr after structural relaxation at the PBE level of DFT.

Calculated values
- Final energy: -6.798 eV/atom
- Magnetic moment: 0.00 μB per formula unit

a b c (Å): 4.6334 4.6334 4.6334
angles (deg): 60.00 60.00 60.00
Fractional coordinates of all 4 atoms:
1 Cu 0.7500 0.7500 0.7500
2 Ir 0.5000 0.5000 0.5000
3 Hf 0.2500 0.2500 0.2500
4 Sb 0.0000 0.0000 0.0000


(3)
Computed, not measured: BaPd3 after structural relaxation at the PBE level of DFT.

Calculated values
- Final energy: -4.537 eV/atom

a b c (Å): 5.5372 5.6415 5.6415
angles (deg): 74.95 90.00 90.00
Fractional coordinates of all 8 atoms:
1 Pd 0.7500 0.7806 0.4664
2 Pd 0.2500 0.9773 0.6850
3 Pd 0.7500 0.6850 0.9773
4 Pd 0.5000 0.1139 0.1139
5 Pd 0.0000 0.1139 0.1139
6 Ba 0.2500 0.6059 0.2462
7 Pd 0.2500 0.4664 0.7806
8 Ba 0.7500 0.2462 0.6059


(4)
Computed, not measured: GdTm2N3 after structural relaxation at the PBE level of DFT.

Calculated values
- Final energy: -8.177 eV/atom
- Magnetic moment: 0.00 μB per formula unit

a b c (Å): 3.4320 3.4320 8.4023
angles (deg): 90.00 90.00 120.00
Fractional coordinates of all 6 atoms:
1 Gd 0.0000 0.0000 0.5000
2 Tm 0.3333 0.6667 0.8362
3 N 0.3333 0.6667 0.3267
4 N 0.0000 0.0000 0.0000
5 Tm 0.6667 0.3333 0.1638
6 N 0.6667 0.3333 0.6733